TiCdTc2Te | PBE | optimized geometry

Geometry as CIF:
```
data_TiCdTc2Te
_chemical_formula_sum 'Ti1 Cd1 Tc2 Te1'
_space_group_name_H-M_alt 'P 1'
_space_group_IT_number 1
_cell_length_a 5.043
_cell_length_b 5.043
_cell_length_c 5.318
_cell_angle_alpha 90.00
_cell_angle_beta 90.00
_cell_angle_gamma 90.00
loop_
_space_group_symop_operation_xyz
'x,y,z'
loop_
_atom_site_label
_atom_site_type_symbol
_atom_site_fract_x
_atom_site_fract_y
_atom_site_fract_z
Ti1 Ti 0.000 0.000 0.000
Cd1 Cd 0.500 0.500 0.500
Tc1 Tc 0.000 0.500 0.500
Tc2 Tc 0.500 0.000 0.500
Te1 Te 0.500 0.500 0.000
```

Crystal system: tetragonal
Energy relative to the elements, uncorrected: 188.4 kJ per mole of atoms
D(E_F): 5.27 states/eV/cell